A relaxed Li2PmTm crystal, computed with PBE-GGA.

## Properties
As for the offset from the most stable computed form: 0.000 eV per atom. For the density of states at the Fermi level, the calculation gives 4.0 states/eV/f.u. Its space-group type is P4/mmm, No. 123. For the energy relative to the elements, the calculation gives 0.154 eV per atom.

The structure in extended XYZ format:
```
4
Lattice="-0.7482 0.0475 3.6380 -0.9179 -3.5965 -0.1418 7.1177 -1.8752 1.4883" Properties=species:S:1:pos:R:3 pbc="T T T"
Li 5.3834 -1.4183 1.1257
Tm -0.8330 -1.7745 1.7481
Pm 2.7258 -2.7121 2.4923
Li 1.7343 -0.4569 0.3626
```